# TmTlZnTe3 (PBE-GGA, optimized geometry)
# mass density	6.83	g cm⁻³
# symmetry	Pnma
# E above lowest polymorph	0.015	eV per atom
# total moment	0.00	Bohr magnetons per cell
data_TmTlZnTe3
_cell_length_a 15.7713
_cell_length_b 4.3411
_cell_length_c 11.6620
_cell_angle_alpha 90.00
_cell_angle_beta 90.00
_cell_angle_gamma 90.00
_space_group_name_H-M_alt 'P 1'
_space_group_IT_number 1
loop_
_space_group_symop_operation_xyz
'x,y,z'
loop_
_atom_site_label
_atom_site_fract_x
_atom_site_fract_y
_atom_site_fract_z
Te1 0.9002 0.7500 0.0799
Te2 0.4137 0.2500 0.1173
Te3 0.1433 0.7500 0.2485
Te4 0.6433 0.7500 0.2515
Te5 0.9137 0.2500 0.3827
Te6 0.4002 0.7500 0.4201
Te7 0.5998 0.2500 0.5799
Te8 0.0863 0.7500 0.6173
Te9 0.3567 0.2500 0.7485
Te10 0.8567 0.2500 0.7515
Te11 0.5863 0.7500 0.8827
Te12 0.0998 0.2500 0.9201
Tl1 0.7384 0.2500 0.0387
Tl2 0.2384 0.2500 0.4613
Tl3 0.7616 0.7500 0.5387
Tl4 0.2616 0.7500 0.9613
Tm1 0.0241 0.2500 0.1565
Tm2 0.5241 0.2500 0.3435
Tm3 0.4759 0.7500 0.6565
Tm4 0.9759 0.7500 0.8435
Zn1 0.5172 0.7500 0.0999
Zn2 0.0172 0.7500 0.4001
Zn3 0.9828 0.2500 0.5999
Zn4 0.4828 0.2500 0.9001

=====

# PrDyPu (PBE-GGA, optimized geometry)
# mass density	8.06	g cm⁻³
# symmetry	F-43m
# E_form	771	meV per atom
# E above lowest polymorph	0.000	eV per atom
# total moment	6.80	Bohr magnetons per cell
data_PrDyPu
_cell_length_a 5.4231
_cell_length_b 5.4231
_cell_length_c 5.4231
_cell_angle_alpha 60.00
_cell_angle_beta 60.00
_cell_angle_gamma 60.00
_space_group_name_H-M_alt 'P 1'
_space_group_IT_number 1
loop_
_space_group_symop_operation_xyz
'x,y,z'
loop_
_atom_site_label
_atom_site_fract_x
_atom_site_fract_y
_atom_site_fract_z
Dy1 0.7500 0.7500 0.7500
Pr1 0.2500 0.2500 0.2500
Pu1 0.0000 0.0000 0.0000

=====

# TcGe (PBE-GGA, optimized geometry)
# mass density	8.67	g cm⁻³
# symmetry	Fm-3m
# E above lowest polymorph	0.592	eV per atom
# total moment	0.91	Bohr magnetons per cell
data_TcGe
_cell_length_a 3.5890
_cell_length_b 3.5890
_cell_length_c 3.5890
_cell_angle_alpha 60.00
_cell_angle_beta 60.00
_cell_angle_gamma 60.00
_space_group_name_H-M_alt 'P 1'
_space_group_IT_number 1
loop_
_space_group_symop_operation_xyz
'x,y,z'
loop_
_atom_site_label
_atom_site_fract_x
_atom_site_fract_y
_atom_site_fract_z
Ge1 0.0000 0.0000 0.0000
Tc1 0.5000 0.5000 0.5000

=====

# SmTcPb (PBE-GGA, optimized geometry)
# mass density	9.49	g cm⁻³
# symmetry	F-43m
# E above lowest polymorph	0.000	eV per atom
# total moment	0.43	Bohr magnetons per cell
data_SmTcPb
_cell_length_a 4.8309
_cell_length_b 4.8309
_cell_length_c 4.8309
_cell_angle_alpha 60.00
_cell_angle_beta 60.00
_cell_angle_gamma 60.00
_space_group_name_H-M_alt 'P 1'
_space_group_IT_number 1
loop_
_space_group_symop_operation_xyz
'x,y,z'
loop_
_atom_site_label
_atom_site_fract_x
_atom_site_fract_y
_atom_site_fract_z
Pb1 0.0000 0.0000 0.0000
Sm1 0.2500 0.2500 0.2500
Tc1 0.7500 0.7500 0.7500

=====

# TmAl2Ag2 (PBE-GGA, optimized geometry)
# mass density	7.44	g cm⁻³
# symmetry	P4/nmm
# E above lowest polymorph	0.000	eV per atom
# total moment	0.03	Bohr magnetons per cell
data_TmAl2Ag2
_cell_length_a 4.2382
_cell_length_b 4.2382
_cell_length_c 10.9000
_cell_angle_alpha 90.00
_cell_angle_beta 90.00
_cell_angle_gamma 90.00
_space_group_name_H-M_alt 'P 1'
_space_group_IT_number 1
loop_
_space_group_symop_operation_xyz
'x,y,z'
loop_
_atom_site_label
_atom_site_fract_x
_atom_site_fract_y
_atom_site_fract_z
Ag1 0.0000 0.0000 0.0000
Ag2 0.5000 0.5000 0.0000
Ag3 0.5000 0.0000 0.3626
Ag4 0.0000 0.5000 0.6374
Al1 0.5000 0.0000 0.1372
Al2 0.0000 0.0000 0.5000
Al3 0.5000 0.5000 0.5000
Al4 0.0000 0.5000 0.8628
Tm1 0.0000 0.5000 0.2505
Tm2 0.5000 0.0000 0.7495

=====

# Cs2Tm2Te3O (PBE-GGA, optimized geometry)
# mass density	6.50	g cm⁻³
# symmetry	P3m1
# raw total energy	-4.603	eV/atom
# total moment	0.00	Bohr magnetons per cell
data_Cs2Tm2Te3O
_cell_length_a 4.1599
_cell_length_b 4.1599
_cell_length_c 17.0962
_cell_angle_alpha 90.00
_cell_angle_beta 90.00
_cell_angle_gamma 120.00
_space_group_name_H-M_alt 'P 1'
_space_group_IT_number 1
loop_
_space_group_symop_operation_xyz
'x,y,z'
loop_
_atom_site_label
_atom_site_fract_x
_atom_site_fract_y
_atom_site_fract_z
Cs1 0.0000 0.0000 0.2369
Cs2 0.6667 0.3333 0.7797
O1 0.0000 0.0000 0.9142
Te1 0.6667 0.3333 0.0744
Te2 0.6667 0.3333 0.4037
Te3 0.0000 0.0000 0.6157
Tm1 0.3333 0.6667 0.5090
Tm2 0.3333 0.6667 0.9664

=====

# Sr5Cd3 (PBE-GGA, optimized geometry)
# mass density	4.24	g cm⁻³
# symmetry	P4/mmm
# raw total energy	-1.653	eV/atom
data_Sr5Cd3
_cell_length_a 4.0701
_cell_length_b 4.0701
_cell_length_c 18.3183
_cell_angle_alpha 90.00
_cell_angle_beta 90.00
_cell_angle_gamma 90.00
_space_group_name_H-M_alt 'P 1'
_space_group_IT_number 1
loop_
_space_group_symop_operation_xyz
'x,y,z'
loop_
_atom_site_label
_atom_site_fract_x
_atom_site_fract_y
_atom_site_fract_z
Cd1 0.5000 0.5000 0.1113
Cd2 0.0000 0.0000 0.5000
Cd3 0.5000 0.5000 0.8887
Sr1 0.0000 0.0000 0.0000
Sr2 0.0000 0.0000 0.2166
Sr3 0.5000 0.5000 0.3927
Sr4 0.5000 0.5000 0.6073
Sr5 0.0000 0.0000 0.7834

=====

# YHo2Tm3Bi2Os (PBE-GGA, optimized geometry)
# mass density	10.26	g cm⁻³
# symmetry	Amm2
# raw total energy	-5.896	eV/atom
# total moment	0.02	Bohr magnetons per cell
data_YHo2Tm3Bi2Os
_cell_length_a 4.2114
_cell_length_b 8.2547
_cell_length_c 8.2547
_cell_angle_alpha 120.10
_cell_angle_beta 90.00
_cell_angle_gamma 90.00
_space_group_name_H-M_alt 'P 1'
_space_group_IT_number 1
loop_
_space_group_symop_operation_xyz
'x,y,z'
loop_
_atom_site_label
_atom_site_fract_x
_atom_site_fract_y
_atom_site_fract_z
Bi1 0.5000 0.6667 0.3327
Bi2 0.5000 0.3327 0.6667
Ho1 0.5000 0.2355 0.0001
Ho2 0.5000 0.0001 0.2355
Os1 0.0000 0.0025 0.0025
Tm1 0.0000 0.6171 0.0007
Tm2 0.0000 0.3822 0.3822
Tm3 0.0000 0.0007 0.6171
Y1 0.5000 0.7624 0.7624

=====

# Nd2InGa5 (PBE-GGA, optimized geometry)
# mass density	7.23	g cm⁻³
# symmetry	Amm2
# raw total energy	-3.952	eV/atom
# total moment	0.01	Bohr magnetons per cell
data_Nd2InGa5
_cell_length_a 4.6419
_cell_length_b 6.5379
_cell_length_c 6.5379
_cell_angle_alpha 60.44
_cell_angle_beta 90.00
_cell_angle_gamma 90.00
_space_group_name_H-M_alt 'P 1'
_space_group_IT_number 1
loop_
_space_group_symop_operation_xyz
'x,y,z'
loop_
_atom_site_label
_atom_site_fract_x
_atom_site_fract_y
_atom_site_fract_z
Ga1 0.5000 0.1415 0.1415
Ga2 0.5000 0.7104 0.1505
Ga3 0.0000 0.8613 0.2927
Ga4 0.5000 0.1505 0.7104
Ga5 0.0000 0.2927 0.8613
In1 0.0000 0.8497 0.8497
Nd1 0.0000 0.3352 0.3352
Nd2 0.5000 0.6588 0.6588

=====

# CdInMo (PBE-GGA, optimized geometry)
# mass density	7.53	g cm⁻³
# symmetry	F-43m
# E above lowest polymorph	0.000	eV per atom
# total moment	2.19	Bohr magnetons per cell
data_CdInMo
_cell_length_a 4.6531
_cell_length_b 4.6531
_cell_length_c 4.6531
_cell_angle_alpha 60.00
_cell_angle_beta 60.00
_cell_angle_gamma 60.00
_space_group_name_H-M_alt 'P 1'
_space_group_IT_number 1
loop_
_space_group_symop_operation_xyz
'x,y,z'
loop_
_atom_site_label
_atom_site_fract_x
_atom_site_fract_y
_atom_site_fract_z
Cd1 0.2500 0.2500 0.2500
In1 0.7500 0.7500 0.7500
Mo1 0.0000 0.0000 0.0000

=====

# KTaPt (PBE-GGA, optimized geometry)
# mass density	10.16	g cm⁻³
# symmetry	F-43m
# E above lowest polymorph	1.135	eV per atom
# total moment	0.01	Bohr magnetons per cell
data_KTaPt
_cell_length_a 4.5782
_cell_length_b 4.5782
_cell_length_c 4.5782
_cell_angle_alpha 60.00
_cell_angle_beta 60.00
_cell_angle_gamma 60.00
_space_group_name_H-M_alt 'P 1'
_space_group_IT_number 1
loop_
_space_group_symop_operation_xyz
'x,y,z'
loop_
_atom_site_label
_atom_site_fract_x
_atom_site_fract_y
_atom_site_fract_z
K1 0.0000 0.0000 0.0000
Pt1 0.2500 0.2500 0.2500
Ta1 0.7500 0.7500 0.7500

=====

# BaCoHg2 (PBE-GGA, optimized geometry)
# mass density	9.33	g cm⁻³
# symmetry	F-43m
# raw total energy	-2.051	eV/atom
# total moment	0.02	Bohr magnetons per cell
data_BaCoHg2
_cell_length_a 5.3172
_cell_length_b 5.3172
_cell_length_c 5.3172
_cell_angle_alpha 60.00
_cell_angle_beta 60.00
_cell_angle_gamma 60.00
_space_group_name_H-M_alt 'P 1'
_space_group_IT_number 1
loop_
_space_group_symop_operation_xyz
'x,y,z'
loop_
_atom_site_label
_atom_site_fract_x
_atom_site_fract_y
_atom_site_fract_z
Ba1 0.5000 0.5000 0.5000
Co1 0.2500 0.2500 0.2500
Hg1 0.0000 0.0000 0.0000
Hg2 0.7500 0.7500 0.7500

=====

# HfCdNiB (PBE-GGA, optimized geometry)
# mass density	10.48	g cm⁻³
# symmetry	F-43m
# E above lowest polymorph	0.000	eV per atom
# total moment	0.00	Bohr magnetons per cell
data_HfCdNiB
_cell_length_a 4.3219
_cell_length_b 4.3219
_cell_length_c 4.3219
_cell_angle_alpha 60.00
_cell_angle_beta 60.00
_cell_angle_gamma 60.00
_space_group_name_H-M_alt 'P 1'
_space_group_IT_number 1
loop_
_space_group_symop_operation_xyz
'x,y,z'
loop_
_atom_site_label
_atom_site_fract_x
_atom_site_fract_y
_atom_site_fract_z
B1 0.0000 0.0000 0.0000
Cd1 0.7500 0.7500 0.7500
Hf1 0.2500 0.2500 0.2500
Ni1 0.5000 0.5000 0.5000

=====

# TmNpTl (PBE-GGA, optimized geometry)
# mass density	10.37	g cm⁻³
# symmetry	F-43m
# E above lowest polymorph	0.000	eV per atom
# total moment	5.27	Bohr magnetons per cell
data_TmNpTl
_cell_length_a 5.1695
_cell_length_b 5.1695
_cell_length_c 5.1695
_cell_angle_alpha 60.00
_cell_angle_beta 60.00
_cell_angle_gamma 60.00
_space_group_name_H-M_alt 'P 1'
_space_group_IT_number 1
loop_
_space_group_symop_operation_xyz
'x,y,z'
loop_
_atom_site_label
_atom_site_fract_x
_atom_site_fract_y
_atom_site_fract_z
Np1 0.2500 0.2500 0.2500
Tl1 0.0000 0.0000 0.0000
Tm1 0.7500 0.7500 0.7500

=====

# Pr2ErIn3AgPt2 (PBE-GGA, optimized geometry)
# mass density	10.15	g cm⁻³
# symmetry	Amm2
# raw total energy	-4.929	eV/atom
# total moment	0.01	Bohr magnetons per cell
data_Pr2ErIn3AgPt2
_cell_length_a 3.9359
_cell_length_b 7.8614
_cell_length_c 7.8614
_cell_angle_alpha 119.68
_cell_angle_beta 90.00
_cell_angle_gamma 90.00
_space_group_name_H-M_alt 'P 1'
_space_group_IT_number 1
loop_
_space_group_symop_operation_xyz
'x,y,z'
loop_
_atom_site_label
_atom_site_fract_x
_atom_site_fract_y
_atom_site_fract_z
Ag1 0.0000 0.9961 0.9961
Er1 0.0000 0.5860 0.5860
In1 0.5000 0.2649 0.2649
In2 0.5000 0.9963 0.7365
In3 0.5000 0.7365 0.9963
Pr1 0.0000 0.4130 0.0009
Pr2 0.0000 0.0009 0.4130
Pt1 0.5000 0.6635 0.3428
Pt2 0.5000 0.3428 0.6635

=====

# SmIrPd (PBE-GGA, optimized geometry)
# mass density	10.94	g cm⁻³
# symmetry	F-43m
# E_form	104	meV per atom
# E above lowest polymorph	0.295	eV per atom
# total moment	0.00	Bohr magnetons per cell
data_SmIrPd
_cell_length_a 4.5845
_cell_length_b 4.5845
_cell_length_c 4.5845
_cell_angle_alpha 60.00
_cell_angle_beta 60.00
_cell_angle_gamma 60.00
_space_group_name_H-M_alt 'P 1'
_space_group_IT_number 1
loop_
_space_group_symop_operation_xyz
'x,y,z'
loop_
_atom_site_label
_atom_site_fract_x
_atom_site_fract_y
_atom_site_fract_z
Ir1 0.2500 0.2500 0.2500
Pd1 0.7500 0.7500 0.7500
Sm1 0.0000 0.0000 0.0000

=====

# TbHoGe2 (PBE-GGA, optimized geometry)
# mass density	7.13	g cm⁻³
# symmetry	Amm2
# E above lowest polymorph	0.623	eV per atom
# total moment	0.02	Bohr magnetons per cell
data_TbHoGe2
_cell_length_a 3.2500
_cell_length_b 6.4513
_cell_length_c 6.4513
_cell_angle_alpha 53.87
_cell_angle_beta 90.00
_cell_angle_gamma 90.00
_space_group_name_H-M_alt 'P 1'
_space_group_IT_number 1
loop_
_space_group_symop_operation_xyz
'x,y,z'
loop_
_atom_site_label
_atom_site_fract_x
_atom_site_fract_y
_atom_site_fract_z
Ge1 0.0000 0.3929 0.3929
Ge2 0.0000 0.6063 0.6063
Ho1 0.0000 0.1501 0.1501
Tb1 0.0000 0.8507 0.8507

=====

# Rb2NbO4 (PBE-GGA, optimized geometry)
# mass density	3.89	g cm⁻³
# symmetry	Fd-3m
# raw total energy	-6.417	eV/atom
# total moment	2.00	Bohr magnetons per cell
data_Rb2NbO4
_cell_length_a 7.3430
_cell_length_b 7.3430
_cell_length_c 7.3430
_cell_angle_alpha 120.00
_cell_angle_beta 90.00
_cell_angle_gamma 120.00
_space_group_name_H-M_alt 'P 1'
_space_group_IT_number 1
loop_
_space_group_symop_operation_xyz
'x,y,z'
loop_
_atom_site_label
_atom_site_fract_x
_atom_site_fract_y
_atom_site_fract_z
Nb1 0.0000 0.0000 0.0000
Nb2 0.7500 0.5000 0.2500
O1 0.1045 0.2090 0.3135
O2 0.6455 0.2910 0.3545
O3 0.0635 0.7090 0.3545
O4 0.6455 0.7090 0.3545
O5 0.1045 0.7910 0.8955
O6 0.1045 0.2090 0.8955
O7 0.6865 0.7910 0.8955
O8 0.6455 0.2910 0.9365
Rb1 0.3750 0.7500 0.1250
Rb2 0.3750 0.7500 0.6250
Rb3 0.3750 0.2500 0.6250
Rb4 0.8750 0.2500 0.6250

=====

# PrNd3C2Br2 (PBE-GGA, optimized geometry)
# mass density	6.66	g cm⁻³
# symmetry	P3m1
# raw total energy	-5.992	eV/atom
# total moment	0.00	Bohr magnetons per cell
data_PrNd3C2Br2
_cell_length_a 3.8210
_cell_length_b 3.8210
_cell_length_c 14.9364
_cell_angle_alpha 90.00
_cell_angle_beta 90.00
_cell_angle_gamma 120.00
_space_group_name_H-M_alt 'P 1'
_space_group_IT_number 1
loop_
_space_group_symop_operation_xyz
'x,y,z'
loop_
_atom_site_label
_atom_site_fract_x
_atom_site_fract_y
_atom_site_fract_z
Br1 0.0000 0.0000 0.2505
Br2 0.3333 0.6667 0.7478
C1 0.6667 0.3333 0.0022
C2 0.6667 0.3333 0.4997
Nd1 0.3333 0.6667 0.0926
Nd2 0.3333 0.6667 0.4081
Nd3 0.0000 0.0000 0.5913
Pr1 0.0000 0.0000 0.9078

=====

# PuNi4As2 (PBE-GGA, optimized geometry)
# mass density	10.45	g cm⁻³
# symmetry	P4_2/mnm
# raw total energy	-7.063	eV/atom
# total moment	10.14	Bohr magnetons per cell
data_PuNi4As2
_cell_length_a 7.2639
_cell_length_b 7.2639
_cell_length_c 3.7852
_cell_angle_alpha 90.00
_cell_angle_beta 90.00
_cell_angle_gamma 90.00
_space_group_name_H-M_alt 'P 1'
_space_group_IT_number 1
loop_
_space_group_symop_operation_xyz
'x,y,z'
loop_
_atom_site_label
_atom_site_fract_x
_atom_site_fract_y
_atom_site_fract_z
As1 0.7173 0.2827 0.0000
As2 0.2827 0.7173 0.0000
As3 0.2173 0.2173 0.5000
As4 0.7827 0.7827 0.5000
Ni1 0.4099 0.1512 0.0000
Ni2 0.1512 0.4099 0.0000
Ni3 0.8488 0.5901 0.0000
Ni4 0.5901 0.8488 0.0000
Ni5 0.6512 0.0901 0.5000
Ni6 0.9099 0.3488 0.5000
Ni7 0.0901 0.6512 0.5000
Ni8 0.3488 0.9099 0.5000
Pu1 0.0000 0.0000 0.0000
Pu2 0.5000 0.5000 0.5000